# KP2WO8

A geometry-optimized KP2WO8 structure (GGA+U, the Alexandria database).

density of states at the Fermi level	0.0	states/eV per cell
V	734	Å³ per cell
uncorrected energy	-7.101	eV/atom
energy above the most stable polymorph in this dataset	0.0000	eV/atom

Cell: 5.1699 12.0420 12.7692 Å, 90.00 112.59 90.00°
Last column: nearest neighbours and their distance in Å.
Space group P2_1/c (No. 14)
Asymmetric unit:
K: 0.1844 0.1264 0.4489 x4  4 O 2.63-2.93
P: 0.1100 0.0657 0.8675 x4  4 O 1.52-1.61
P: 0.1112 0.6939 0.8475 x4  4 O 1.49-1.64
W: 0.4080 0.1182 0.1655 x4  1 O 1.76
O: 0.0527 0.2130 0.1226 x4  1 P 1.54
O: 0.0644 0.1747 0.7889 x4  2 P 1.61-1.64
O: 0.1369 0.5893 0.9130 x4  1 P 1.49
O: 0.1825 0.5275 0.6433 x4  1 P 1.53
O: 0.2517 0.5234 0.3232 x4  1 P 1.52
O: 0.2877 0.1090 0.9848 x4  1 P 1.52
O: 0.3995 0.7389 0.8558 x4  1 P 1.55
O: 0.4936 0.6275 0.1870 x4  1 W 1.76